a | Fe2TcRu2 | PBE-GGA | relaxed

a = 7.0513 Å, b = 7.0513 Å, c = 2.6301 Å
α = 90.00°, β = 90.00°, γ = 90.00°
Closest atoms and distances in Å follow each position.
Atoms (fractional coordinates):
Ru 0.3734 0.8734 0.0000  6 Fe 2.41-2.49, 3 Ru 2.52-2.63
Ru 0.8734 0.6266 0.0000  6 Fe 2.41-2.49, 3 Ru 2.52-2.63
Ru 0.6266 0.1266 0.0000  6 Fe 2.41-2.49, 3 Ru 2.52-2.63
Ru 0.1266 0.3734 0.0000  6 Fe 2.41-2.49, 3 Ru 2.52-2.63
Tc 0.0000 0.0000 0.0000  2 Tc 2.63, 4 Ru 2.78, 8 Fe 2.93
Tc 0.5000 0.5000 0.0000  2 Tc 2.63, 4 Ru 2.78, 8 Fe 2.93
Fe 0.1707 0.6707 0.5000  6 Ru 2.41-2.49, 2 Fe 2.63
Fe 0.6707 0.8293 0.5000  6 Ru 2.41-2.49, 2 Fe 2.63
Fe 0.8293 0.3293 0.5000  6 Ru 2.41-2.49, 2 Fe 2.63
Fe 0.3293 0.1707 0.5000  6 Ru 2.41-2.49, 2 Fe 2.63


b | Fe2TcRu2 | PBE-GGA | relaxed

a = 6.9324 Å, b = 6.9324 Å, c = 2.6747 Å
α = 90.00°, β = 90.00°, γ = 90.00°
Closest atoms and distances in Å follow each position.
Atoms (fractional coordinates):
Ru 0.1754 0.6754 0.5000  6 Fe 2.41-2.47, 2 Ru 2.67
Ru 0.6754 0.8246 0.5000  6 Fe 2.41-2.47, 2 Ru 2.67
Ru 0.8246 0.3246 0.5000  6 Fe 2.41-2.47, 2 Ru 2.67
Ru 0.3246 0.1754 0.5000  6 Fe 2.41-2.47, 2 Ru 2.67
Tc 0.0000 0.0000 0.0000  2 Tc 2.67, 4 Fe 2.76, 8 Ru 2.89
Tc 0.5000 0.5000 0.0000  2 Tc 2.67, 4 Fe 2.76, 8 Ru 2.89
Fe 0.3802 0.8802 0.0000  1 Fe 2.35, 6 Ru 2.41-2.47
Fe 0.8802 0.6198 0.0000  1 Fe 2.35, 6 Ru 2.41-2.47
Fe 0.6198 0.1198 0.0000  1 Fe 2.35, 6 Ru 2.41-2.47
Fe 0.1198 0.3802 0.0000  1 Fe 2.35, 6 Ru 2.41-2.47


Most stable to least stable, the ends of the list are b and a.


a | Fe2TeRu2 | PBE-GGA | relaxed

a = 7.2563 Å, b = 7.2563 Å, c = 2.9031 Å
α = 90.00°, β = 90.00°, γ = 90.00°
Closest atoms and distances in Å follow each position.
Atoms (fractional coordinates):
Ru 0.1388 0.6388 0.5000  6 Fe 2.54-2.62
Ru 0.6388 0.8612 0.5000  6 Fe 2.54-2.62
Ru 0.8612 0.3612 0.5000  6 Fe 2.54-2.62
Ru 0.3612 0.1388 0.5000  6 Fe 2.54-2.62
Te 0.0000 0.0000 0.0000  4 Fe 2.77, 2 Te 2.90
Te 0.5000 0.5000 0.0000  4 Fe 2.77, 2 Te 2.90
Fe 0.3519 0.8519 0.0000  6 Ru 2.54-2.62, 2 Te 2.77
Fe 0.8519 0.6481 0.0000  6 Ru 2.54-2.62, 2 Te 2.77
Fe 0.6481 0.1481 0.0000  6 Ru 2.54-2.62, 2 Te 2.77
Fe 0.1481 0.3519 0.0000  6 Ru 2.54-2.62, 2 Te 2.77


b | Fe2TeRu2 | PBE-GGA | relaxed

a = 3.6813 Å, b = 3.6813 Å, c = 6.4352 Å
α = 73.38°, β = 73.38°, γ = 90.00°
Closest atoms and distances in Å follow each position.
Atoms (fractional coordinates):
Ru 0.7500 0.2500 0.5000  4 Fe 2.50, 4 Ru 2.60
Ru 0.2500 0.7500 0.5000  4 Fe 2.50, 4 Ru 2.60
Te 0.0000 0.0000 0.0000  8 Fe 2.89
Fe 0.3942 0.3942 0.2117  1 Fe 2.49, 4 Ru 2.50
Fe 0.6058 0.6058 0.7883  1 Fe 2.49, 4 Ru 2.50


Most stable to least stable, the ends of the list are a and b.


a | TiFe2Ru2 | PBE-GGA | relaxed

a = 7.0076 Å, b = 7.0076 Å, c = 2.6897 Å
α = 90.00°, β = 90.00°, γ = 90.00°
Closest atoms and distances in Å follow each position.
Atoms (fractional coordinates):
Ru 0.1763 0.6763 0.5000  6 Fe 2.43-2.50, 2 Ru 2.69
Ru 0.6763 0.8237 0.5000  6 Fe 2.43-2.50, 2 Ru 2.69
Ru 0.8237 0.3237 0.5000  6 Fe 2.43-2.50, 2 Ru 2.69
Ru 0.3237 0.1763 0.5000  6 Fe 2.43-2.50, 2 Ru 2.69
Fe 0.3809 0.8809 0.0000  1 Fe 2.36, 6 Ru 2.43-2.50
Fe 0.8809 0.6191 0.0000  1 Fe 2.36, 6 Ru 2.43-2.50
Fe 0.6191 0.1191 0.0000  1 Fe 2.36, 6 Ru 2.43-2.50
Fe 0.1191 0.3809 0.0000  1 Fe 2.36, 6 Ru 2.43-2.50
Ti 0.0000 0.0000 0.0000  2 Ti 2.69, 4 Fe 2.80, 8 Ru 2.91
Ti 0.5000 0.5000 0.0000  2 Ti 2.69, 4 Fe 2.80, 8 Ru 2.91


b | TiFe2Ru2 | PBE-GGA | relaxed

a = 7.1052 Å, b = 7.1052 Å, c = 2.6507 Å
α = 90.00°, β = 90.00°, γ = 90.00°
Closest atoms and distances in Å follow each position.
Atoms (fractional coordinates):
Ru 0.3724 0.8724 0.0000  6 Fe 2.42-2.52, 3 Ru 2.56-2.65
Ru 0.8724 0.6276 0.0000  6 Fe 2.42-2.52, 3 Ru 2.56-2.65
Ru 0.6276 0.1276 0.0000  6 Fe 2.42-2.52, 3 Ru 2.56-2.65
Ru 0.1276 0.3724 0.0000  6 Fe 2.42-2.52, 3 Ru 2.56-2.65
Fe 0.1704 0.6704 0.5000  6 Ru 2.42-2.52, 2 Fe 2.65
Fe 0.6704 0.8296 0.5000  6 Ru 2.42-2.52, 2 Fe 2.65
Fe 0.8296 0.3296 0.5000  6 Ru 2.42-2.52, 2 Fe 2.65
Fe 0.3296 0.1704 0.5000  6 Ru 2.42-2.52, 2 Fe 2.65
Ti 0.0000 0.0000 0.0000  2 Ti 2.65, 4 Ru 2.80, 8 Fe 2.95
Ti 0.5000 0.5000 0.0000  2 Ti 2.65, 4 Ru 2.80, 8 Fe 2.95


Most stable to least stable, the ends of the list are a and b.